# KLiRu2 | Alexandria via LeMat-Bulk | GGA-PBEsol | relaxed
data_KLiRu2
_space_group_name_H-M_alt 'P 4/m m m'
_space_group_IT_number 123
_space_group_name_Hall '-P 4 2'
_cell_length_a 3.0202
_cell_length_b 3.0202
_cell_length_c 7.7355
_cell_angle_alpha 90.00
_cell_angle_beta 90.00
_cell_angle_gamma 90.00
loop_
_atom_site_label
_atom_site_type_symbol
_atom_site_fract_x
_atom_site_fract_y
_atom_site_fract_z
K1 K 0.0000 0.0000 0.0000
Li1 Li 0.0000 0.0000 0.5000
Ru1 Ru 0.5000 0.5000 0.3518
# Volume (Å³/atom): 17.6
# Total DFT energy (no corrections) (eV per atom): -4.807
# ρ (Mg/m³): 5.8
# Crystal system: tetragonal

# KLiRu4 | Alexandria via LeMat-Bulk | GGA-PBEsol | relaxed
data_KLiRu4
_space_group_name_H-M_alt 'F -4 3 m'
_space_group_IT_number 216
_space_group_name_Hall 'F -4 2 3'
_cell_length_a 7.3835
_cell_length_b 7.3835
_cell_length_c 7.3835
_cell_angle_alpha 90.00
_cell_angle_beta 90.00
_cell_angle_gamma 90.00
loop_
_atom_site_label
_atom_site_type_symbol
_atom_site_fract_x
_atom_site_fract_y
_atom_site_fract_z
K1 K 0.0000 0.0000 0.0000
Li1 Li 0.2500 0.2500 0.2500
Ru1 Ru 0.1247 0.1247 0.6247
# Volume (Å³/atom): 16.8
# Total DFT energy (no corrections) (eV per atom): -6.298
# ρ (Mg/m³): 7.4
# Crystal system: cubic